DFT (PBE) results for crystalline OsWI3 at its relaxed geometry.

Cell: 5.3850 5.3850 5.3850 Å, 90.00 90.00 90.00°
Site moments in Bohr magnetons follow the coordinates.
Positions (direct):
I: 0.0000 0.5000 0.0000  -0.05
I: 0.0000 0.0000 0.5000  0.00
I: 0.5000 0.0000 0.0000  -0.12
Os: 0.0000 0.0000 0.0000  -0.95
W: 0.5000 0.5000 0.5000  3.45

Properties
DFT total energy ... -3.963 eV per atom
D(E_F) ... 6.06 states/eV/cell
E_form (uncorrected) ... 9.0 eV/f.u.

DFT (PBE) results for crystalline OsWI2 at its relaxed geometry.

Cell: 6.0161 6.0161 7.2810 Å, 65.60 65.60 90.00°
Positions (direct):
I: 0.6318 0.1250 0.2500
I: 0.1182 0.6250 0.2500
I: 0.3750 0.3682 0.7500
I: 0.8750 0.8818 0.7500
Os: 0.0000 0.0000 0.0000
Os: 0.7500 0.2500 0.5000
W: 0.5000 0.5000 0.0000
W: 0.2500 0.7500 0.5000

Properties
DFT total energy ... -5.031 eV per atom
D(E_F) ... 6.02 states/eV/cell
E_form (uncorrected) ... 7.2 eV/f.u.

DFT (PBE) results for crystalline OsW2I at its relaxed geometry.

Cell: 4.5845 4.5845 4.5845 Å, 60.00 60.00 60.00°
Positions (direct):
I: 0.0000 0.0000 0.0000
Os: 0.5000 0.5000 0.5000
W: 0.2500 0.2500 0.2500
W: 0.7500 0.7500 0.7500

Properties
DFT total energy ... -8.467 eV per atom
D(E_F) ... 2.44 states/eV/cell
E_form (uncorrected) ... 4.8 eV/f.u.

DFT (PBE) results for crystalline OsW3I at its relaxed geometry.

Cell: 4.8356 4.8356 4.8356 Å, 90.00 90.00 90.00°
Positions (direct):
I: 0.5000 0.5000 0.5000
Os: 0.0000 0.0000 0.0000
W: 0.0000 0.5000 0.0000
W: 0.0000 0.0000 0.5000
W: 0.5000 0.0000 0.0000

Properties
DFT total energy ... -8.169 eV per atom
D(E_F) ... 4.76 states/eV/cell
E_form (uncorrected) ... 10.8 eV/f.u.